Record 1
VASP calculation (PBE) on crystalline Sc2Rh2Pb at its relaxed geometry.

Properties
Final energy, eV per atom: -6.655
Total moment, Bohr magnetons per cell: 0.00
Symmetry: I4/mmm

Unit cell a=6.2790 b=6.2790 c=6.2790 alpha=138.93 beta=138.93 gamma=59.48
Last column: nearest neighbours and their distance in Å.
Sites, in units of the cell vectors:
1 Sc 0.2500 0.7500 0.5000  4 Rh 2.64
2 Sc 0.7500 0.2500 0.5000  4 Rh 2.64
3 Rh 0.1165 0.1165 0.0000  1 Rh 2.54, 4 Sc 2.64
4 Rh 0.8835 0.8835 0.0000  1 Rh 2.54, 4 Sc 2.64
5 Pb 0.5000 0.5000 0.0000  8 Rh 3.36, 8 Sc 3.50


Record 2
VASP calculation (PBE) on crystalline ScRhPb4 at its relaxed geometry.

Properties
Final energy, eV per atom: -4.229
Total moment, Bohr magnetons per cell: 0.49
Symmetry: F-43m

Unit cell a=6.2169 b=6.2169 c=6.2169 alpha=60.00 beta=60.00 gamma=60.00
Last column: nearest neighbours and their distance in Å.
Sites, in units of the cell vectors:
1 Sc 0.0000 0.0000 0.0000  12 Pb 3.65, 4 Rh 3.81
2 Rh 0.2500 0.2500 0.2500  12 Pb 3.64, 4 Sc 3.81
3 Pb 0.1253 0.6249 0.6249  6 Pb 3.11
4 Pb 0.6249 0.1253 0.6249  6 Pb 3.11
5 Pb 0.6249 0.6249 0.1253  6 Pb 3.11
6 Pb 0.6249 0.6249 0.6249  6 Pb 3.11


Record 3
VASP calculation (PBE) on crystalline Sc2RhPb2 at its relaxed geometry.

Properties
Final energy, eV per atom: -5.794
Total moment, Bohr magnetons per cell: 0.00
Symmetry: P4/mbm

Unit cell a=7.1526 b=7.1526 c=4.4209 alpha=90.00 beta=90.00 gamma=90.00
Last column: nearest neighbours and their distance in Å.
Sites, in units of the cell vectors:
1 Sc 0.1637 0.3363 0.0000  6 Pb 2.92-3.14
2 Sc 0.3363 0.8363 0.0000  6 Pb 2.92-3.14
3 Sc 0.6637 0.1637 0.0000  6 Pb 2.92-3.14
4 Sc 0.8363 0.6637 0.0000  6 Pb 2.92-3.14
5 Rh 0.0000 0.0000 0.5000  4 Pb 2.73
6 Rh 0.5000 0.5000 0.5000  4 Pb 2.73
7 Pb 0.1482 0.6482 0.5000  2 Rh 2.73, 2 Sc 2.92, 1 Pb 3.00
8 Pb 0.3518 0.1482 0.5000  2 Rh 2.73, 2 Sc 2.92, 1 Pb 3.00
9 Pb 0.6482 0.8518 0.5000  2 Rh 2.73, 2 Sc 2.92, 1 Pb 3.00
10 Pb 0.8518 0.3518 0.5000  2 Rh 2.73, 2 Sc 2.92, 1 Pb 3.00


Record 4
VASP calculation (PBE) on crystalline ScRh2Pb2 at its relaxed geometry.

Properties
Final energy, eV per atom: -5.936
Total moment, Bohr magnetons per cell: 0.00
Symmetry: P4/mbm

Unit cell a=6.9449 b=6.9449 c=4.2691 alpha=90.00 beta=90.00 gamma=90.00
Last column: nearest neighbours and their distance in Å.
Sites, in units of the cell vectors:
1 Sc 0.0000 0.0000 0.0000  4 Rh 2.69
2 Sc 0.5000 0.5000 0.0000  4 Rh 2.69
3 Rh 0.1392 0.3608 0.0000  2 Sc 2.69, 1 Rh 2.73, 2 Pb 2.85
4 Rh 0.3608 0.8608 0.0000  2 Sc 2.69, 1 Rh 2.73, 2 Pb 2.85
5 Rh 0.6392 0.1392 0.0000  2 Sc 2.69, 1 Rh 2.73, 2 Pb 2.85
6 Rh 0.8608 0.6392 0.0000  2 Sc 2.69, 1 Rh 2.73, 2 Pb 2.85
7 Pb 0.1692 0.6692 0.5000  6 Rh 2.85-3.03
8 Pb 0.3308 0.1692 0.5000  6 Rh 2.85-3.03
9 Pb 0.6692 0.8308 0.5000  6 Rh 2.85-3.03
10 Pb 0.8308 0.3308 0.5000  6 Rh 2.85-3.03


Record 5
VASP calculation (PBE) on crystalline Sc11Rh4Pb9 at its relaxed geometry.

Properties
Final energy, eV per atom: -6.056
Total moment, Bohr magnetons per cell: 0.93
Symmetry: Cmmm

Unit cell a=12.8347 b=12.8347 c=3.4949 alpha=90.00 beta=90.00 gamma=111.93
Last column: nearest neighbours and their distance in Å.
Sites, in units of the cell vectors:
1 Sc 0.0000 0.0000 0.0000  8 Pb 3.15, 4 Sc 3.33-3.49
2 Sc 0.0842 0.4202 0.0000  2 Rh 2.64
3 Sc 0.1568 0.8432 0.0000  8 Pb 3.19-3.21, 3 Sc 3.33-3.49
4 Sc 0.3136 0.3136 0.0000  4 Rh 2.84
5 Sc 0.3730 0.6270 0.0000  4 Rh 2.83
6 Sc 0.4202 0.0842 0.0000  2 Rh 2.64
7 Sc 0.5798 0.9158 0.0000  2 Rh 2.64
8 Sc 0.6270 0.3730 0.0000  4 Rh 2.83
9 Sc 0.6864 0.6864 0.0000  4 Rh 2.84
10 Sc 0.8432 0.1568 0.0000  8 Pb 3.19-3.21, 3 Sc 3.33-3.49
11 Sc 0.9158 0.5798 0.0000  2 Rh 2.64
12 Rh 0.2475 0.4517 0.5000  6 Sc 2.64-2.84
13 Rh 0.4517 0.2475 0.5000  6 Sc 2.64-2.84
14 Rh 0.5483 0.7525 0.5000  6 Sc 2.64-2.84
15 Rh 0.7525 0.5483 0.5000  6 Sc 2.64-2.84
16 Pb 0.0681 0.2192 0.5000  1 Rh 3.01, 6 Sc 3.06-3.21, 1 Pb 3.21
17 Pb 0.1442 0.6306 0.5000  1 Rh 3.05, 6 Sc 3.06-3.26, 1 Pb 3.24
18 Pb 0.2192 0.0681 0.5000  1 Rh 3.01, 6 Sc 3.06-3.21, 1 Pb 3.21
19 Pb 0.3694 0.8558 0.5000  1 Rh 3.05, 6 Sc 3.06-3.26, 1 Pb 3.24
20 Pb 0.5000 0.5000 0.5000  4 Rh 3.06, 8 Sc 3.20-3.22
21 Pb 0.6306 0.1442 0.5000  1 Rh 3.05, 6 Sc 3.06-3.26, 1 Pb 3.24
22 Pb 0.7808 0.9319 0.5000  1 Rh 3.01, 6 Sc 3.06-3.21, 1 Pb 3.21
23 Pb 0.8558 0.3694 0.5000  1 Rh 3.05, 6 Sc 3.06-3.26, 1 Pb 3.24
24 Pb 0.9319 0.7808 0.5000  1 Rh 3.01, 6 Sc 3.06-3.21, 1 Pb 3.21


Record 6
VASP calculation (PBE) on crystalline ScRh2Pb2 at its relaxed geometry.

Properties
Final energy, eV per atom: -5.695
Total moment, Bohr magnetons per cell: 0.00
Symmetry: I4/mmm

Unit cell a=6.8112 b=6.8112 c=6.8112 alpha=143.65 beta=143.65 gamma=52.35
Last column: nearest neighbours and their distance in Å.
Sites, in units of the cell vectors:
1 Sc 0.0000 0.0000 0.0000  8 Pb 3.34, 8 Rh 3.72
2 Rh 0.2500 0.7500 0.5000  4 Pb 2.66
3 Rh 0.7500 0.2500 0.5000  4 Pb 2.66
4 Pb 0.3808 0.3808 0.0000  4 Rh 2.66, 1 Pb 2.91
5 Pb 0.6192 0.6192 0.0000  4 Rh 2.66, 1 Pb 2.91